Record 1
A plane-wave DFT calculation with PBE was carried out for a relaxed ZnNi3N crystal.

Cell: 6.839 4.847 8.086 Å, 90.00 124.09 90.00°
Atoms (fractional coordinates):
Zn: 0.082 0.245 0.046
Zn: 0.082 0.255 0.546
Zn: 0.918 0.745 0.454
Zn: 0.918 0.755 0.954
Ni: 0.142 0.594 0.311
Ni: 0.142 0.906 0.811
Ni: 0.306 0.104 0.405
Ni: 0.306 0.396 0.905
Ni: 0.496 0.038 0.782
Ni: 0.496 0.462 0.282
Ni: 0.504 0.538 0.718
Ni: 0.504 0.962 0.218
Ni: 0.694 0.604 0.095
Ni: 0.694 0.896 0.595
Ni: 0.858 0.094 0.189
Ni: 0.858 0.406 0.689
N: 0.409 0.734 0.862
N: 0.409 0.766 0.362
N: 0.591 0.234 0.638
N: 0.591 0.266 0.138

Total DFT energy (no corrections) = -5.3572 eV per atom

=====

Record 2
A plane-wave DFT calculation with PBE was carried out for a relaxed ZnNi3N crystal.

Cell: 6.876 6.876 4.499 Å, 90.00 90.00 139.54°
Atoms (fractional coordinates):
Zn: 0.123 0.877 0.750
Zn: 0.877 0.123 0.250
Ni: 0.039 0.446 0.750
Ni: 0.446 0.039 0.250
Ni: 0.500 0.500 0.000
Ni: 0.500 0.500 0.500
Ni: 0.554 0.961 0.750
Ni: 0.961 0.554 0.250
N: 0.394 0.606 0.750
N: 0.606 0.394 0.250

Total DFT energy (no corrections) = -5.0733 eV per atom

=====

Record 3
A plane-wave DFT calculation with PBE was carried out for a relaxed Zn2NiN crystal.

Cell: 5.763 5.763 5.763 Å, 95.54 95.54 143.81°
Atoms (fractional coordinates):
Zn: 0.004 0.625 0.879
Zn: 0.375 0.254 0.379
Zn: 0.746 0.125 0.121
Zn: 0.875 0.996 0.621
Ni: 0.250 0.750 0.500
Ni: 0.500 0.500 0.000
N: 0.000 0.000 0.000
N: 0.750 0.250 0.500

Total DFT energy (no corrections) = -3.9055 eV per atom

=====

Record 4
A plane-wave DFT calculation with PBE was carried out for a relaxed Zn3NiN crystal.

Cell: 4.578 4.578 4.578 Å, 90.00 90.00 90.00°
Atoms (fractional coordinates):
Zn: 0.000 0.000 0.500
Zn: 0.000 0.500 0.000
Zn: 0.500 0.000 0.000
Ni: 0.000 0.000 0.000
N: 0.500 0.500 0.500

Total DFT energy (no corrections) = -2.4343 eV per atom

=====

Record 5
A plane-wave DFT calculation with PBE was carried out for a relaxed ZnNi2N crystal.

Cell: 3.920 3.920 3.920 Å, 60.00 60.00 60.00°
Atoms (fractional coordinates):
Zn: 0.000 0.000 0.000
Ni: 0.250 0.250 0.250
Ni: 0.750 0.750 0.750
N: 0.500 0.500 0.500

Total DFT energy (no corrections) = -4.4272 eV per atom

=====

Record 6
A plane-wave DFT calculation with PBE was carried out for a relaxed ZnNi3N crystal.

Cell: 7.101 4.841 7.087 Å, 90.00 114.08 90.00°
Atoms (fractional coordinates):
Zn: 0.166 0.120 0.030
Zn: 0.166 0.380 0.530
Zn: 0.834 0.620 0.470
Zn: 0.834 0.880 0.970
Ni: 0.046 0.574 0.843
Ni: 0.046 0.926 0.343
Ni: 0.311 0.677 0.240
Ni: 0.311 0.823 0.740
Ni: 0.390 0.175 0.389
Ni: 0.390 0.325 0.889
Ni: 0.610 0.675 0.111
Ni: 0.610 0.825 0.611
Ni: 0.689 0.177 0.260
Ni: 0.689 0.323 0.760
Ni: 0.954 0.074 0.657
Ni: 0.954 0.426 0.157
N: 0.321 0.668 0.982
N: 0.321 0.832 0.482
N: 0.679 0.168 0.518
N: 0.679 0.332 0.018

Total DFT energy (no corrections) = -5.3185 eV per atom

=====

Record 7
A plane-wave DFT calculation with PBE was carried out for a relaxed ZnNi3N crystal.

Cell: 6.823 6.823 6.823 Å, 39.56 39.56 39.56°
Atoms (fractional coordinates):
Zn: 0.165 0.165 0.165
Zn: 0.835 0.835 0.835
Ni: 0.050 0.732 0.392
Ni: 0.268 0.608 0.950
Ni: 0.392 0.050 0.732
Ni: 0.608 0.950 0.268
Ni: 0.732 0.392 0.050
Ni: 0.950 0.268 0.608
N: 0.338 0.338 0.338
N: 0.662 0.662 0.662

Total DFT energy (no corrections) = -5.2836 eV per atom

=====

Record 8
A plane-wave DFT calculation with PBE was carried out for a relaxed ZnNi3N crystal.

Cell: 6.656 6.656 4.507 Å, 90.00 90.00 137.46°
Atoms (fractional coordinates):
Zn: 0.175 0.825 0.750
Zn: 0.825 0.175 0.250
Ni: 0.000 0.000 0.000
Ni: 0.000 0.000 0.500
Ni: 0.091 0.402 0.750
Ni: 0.402 0.091 0.250
Ni: 0.598 0.909 0.750
Ni: 0.909 0.598 0.250
N: 0.441 0.559 0.750
N: 0.559 0.441 0.250

Total DFT energy (no corrections) = -4.8220 eV per atom

=====

Record 9
A plane-wave DFT calculation with PBE was carried out for a relaxed ZnNi3N crystal.

Cell: 5.338 3.717 5.993 Å, 90.00 116.37 90.00°
Atoms (fractional coordinates):
Zn: 0.124 0.000 0.247
Zn: 0.876 0.000 0.753
Ni: 0.000 0.500 0.500
Ni: 0.244 0.500 0.000
Ni: 0.373 0.000 0.746
Ni: 0.500 0.500 0.500
Ni: 0.627 0.000 0.254
Ni: 0.756 0.500 0.000
N: 0.372 0.500 0.744
N: 0.628 0.500 0.256

Total DFT energy (no corrections) = -5.4756 eV per atom

=====

Record 10
A plane-wave DFT calculation with PBE was carried out for a relaxed Zn3NiN crystal.

Cell: 4.060 4.060 4.060 Å, 90.00 90.00 90.00°
Atoms (fractional coordinates):
Zn: 0.000 0.000 0.500
Zn: 0.000 0.500 0.000
Zn: 0.500 0.000 0.000
Ni: 0.500 0.500 0.500
N: 0.000 0.000 0.000

Total DFT energy (no corrections) = -3.1590 eV per atom

=====

Record 11
A plane-wave DFT calculation with PBE was carried out for a relaxed ZnNi3N crystal.

Cell: 3.597 3.597 5.900 Å, 90.00 90.00 90.00°
Atoms (fractional coordinates):
Zn: 0.000 0.000 0.000
Ni: 0.000 0.000 0.608
Ni: 0.000 0.500 0.319
Ni: 0.500 0.000 0.319
N: 0.500 0.500 0.322

Total DFT energy (no corrections) = -4.9218 eV per atom

=====

Record 12
A plane-wave DFT calculation with PBE was carried out for a relaxed ZnNi3N crystal.

Cell: 6.915 6.915 5.185 Å, 100.30 100.30 67.89°
Atoms (fractional coordinates):
Zn: 0.007 0.993 0.750
Zn: 0.333 0.667 0.250
Zn: 0.667 0.333 0.750
Zn: 0.993 0.007 0.250
Ni: 0.000 0.330 0.584
Ni: 0.000 0.670 0.416
Ni: 0.002 0.677 0.925
Ni: 0.323 0.998 0.575
Ni: 0.330 0.000 0.084
Ni: 0.343 0.343 0.432
Ni: 0.343 0.343 0.932
Ni: 0.657 0.657 0.068
Ni: 0.657 0.657 0.568
Ni: 0.670 0.000 0.916
Ni: 0.677 0.002 0.425
Ni: 0.998 0.323 0.075
N: 0.171 0.505 0.681
N: 0.495 0.829 0.819
N: 0.505 0.171 0.181
N: 0.829 0.495 0.319

Total DFT energy (no corrections) = -5.3764 eV per atom

=====

Record 13
A plane-wave DFT calculation with PBE was carried out for a relaxed ZnNi3N crystal.

Cell: 6.996 6.996 6.996 Å, 60.00 60.00 60.00°
Atoms (fractional coordinates):
Zn: 0.000 0.000 0.000
Zn: 0.000 0.000 0.500
Zn: 0.000 0.500 0.000
Zn: 0.500 0.000 0.000
Ni: 0.185 0.185 0.565
Ni: 0.185 0.565 0.185
Ni: 0.185 0.565 0.565
Ni: 0.435 0.435 0.815
Ni: 0.435 0.815 0.435
Ni: 0.435 0.815 0.815
Ni: 0.565 0.185 0.185
Ni: 0.565 0.185 0.565
Ni: 0.565 0.565 0.185
Ni: 0.815 0.435 0.435
Ni: 0.815 0.435 0.815
Ni: 0.815 0.815 0.435
N: 0.000 0.500 0.500
N: 0.500 0.000 0.500
N: 0.500 0.500 0.000
N: 0.500 0.500 0.500

Total DFT energy (no corrections) = -5.4394 eV per atom

=====

Record 14
A plane-wave DFT calculation with PBE was carried out for a relaxed ZnNi3N crystal.

Cell: 3.213 3.213 13.505 Å, 90.00 90.00 120.00°
Atoms (fractional coordinates):
Zn: 0.000 0.000 0.000
Zn: 0.000 0.000 0.500
Ni: 0.000 0.000 0.250
Ni: 0.000 0.000 0.750
Ni: 0.333 0.667 0.115
Ni: 0.333 0.667 0.385
Ni: 0.667 0.333 0.615
Ni: 0.667 0.333 0.885
N: 0.333 0.667 0.250
N: 0.667 0.333 0.750

Total DFT energy (no corrections) = -5.1916 eV per atom

=====

Record 15
A plane-wave DFT calculation with PBE was carried out for a relaxed ZnNi3N crystal.

Cell: 9.383 9.383 9.383 Å, 154.69 154.69 36.10°
Atoms (fractional coordinates):
Zn: 0.000 0.000 0.000
Zn: 0.750 0.250 0.500
Ni: 0.346 0.346 0.000
Ni: 0.370 0.125 0.246
Ni: 0.654 0.654 0.000
Ni: 0.875 0.121 0.246
Ni: 0.875 0.630 0.754
Ni: 0.879 0.125 0.754
N: 0.137 0.637 0.500
N: 0.363 0.863 0.500

Total DFT energy (no corrections) = -4.4929 eV per atom

=====

Record 16
A plane-wave DFT calculation with PBE was carried out for a relaxed Zn2NiN crystal.

Cell: 7.379 7.379 7.379 Å, 22.99 22.99 22.99°
Atoms (fractional coordinates):
Zn: 0.112 0.112 0.112
Zn: 0.888 0.888 0.888
Ni: 0.000 0.000 0.000
N: 0.500 0.500 0.500

Total DFT energy (no corrections) = -3.5584 eV per atom

=====

Record 17
A plane-wave DFT calculation with PBE was carried out for a relaxed ZnNi3N crystal.

Cell: 4.799 6.673 7.000 Å, 90.00 90.00 90.00°
Atoms (fractional coordinates):
Zn: 0.000 0.000 0.000
Zn: 0.000 0.500 0.000
Zn: 0.500 0.000 0.500
Zn: 0.500 0.500 0.500
Ni: 0.012 0.068 0.343
Ni: 0.012 0.432 0.343
Ni: 0.249 0.250 0.735
Ni: 0.251 0.750 0.235
Ni: 0.488 0.568 0.843
Ni: 0.488 0.932 0.843
Ni: 0.512 0.068 0.157
Ni: 0.512 0.432 0.157
Ni: 0.749 0.250 0.765
Ni: 0.751 0.750 0.265
Ni: 0.988 0.568 0.657
Ni: 0.988 0.932 0.657
N: 0.020 0.750 0.456
N: 0.480 0.250 0.956
N: 0.520 0.750 0.044
N: 0.980 0.250 0.544

Total DFT energy (no corrections) = -5.2411 eV per atom

=====

Record 18
A plane-wave DFT calculation with PBE was carried out for a relaxed ZnNi3N crystal.

Cell: 4.038 4.038 7.422 Å, 90.00 90.00 120.00°
Atoms (fractional coordinates):
Zn: 0.333 0.667 0.250
Zn: 0.667 0.333 0.750
Ni: 0.000 0.000 0.250
Ni: 0.000 0.000 0.750
Ni: 0.333 0.667 0.576
Ni: 0.333 0.667 0.924
Ni: 0.667 0.333 0.076
Ni: 0.667 0.333 0.424
N: 0.000 0.000 0.000
N: 0.000 0.000 0.500

Total DFT energy (no corrections) = -5.0214 eV per atom

=====

Record 19
A plane-wave DFT calculation with PBE was carried out for a relaxed ZnNi3N crystal.

Cell: 4.226 4.226 4.226 Å, 106.12 106.12 106.12°
Atoms (fractional coordinates):
Zn: 0.000 0.000 0.000
Ni: 0.288 0.288 0.669
Ni: 0.288 0.669 0.288
Ni: 0.669 0.288 0.288
N: 0.609 0.609 0.609

Total DFT energy (no corrections) = -5.0000 eV per atom

=====

Record 20
A plane-wave DFT calculation with PBE was carried out for a relaxed ZnNi3N crystal.

Cell: 7.398 7.398 6.399 Å, 96.70 96.70 20.66°
Atoms (fractional coordinates):
Zn: 0.121 0.121 0.337
Zn: 0.879 0.879 0.663
Ni: 0.048 0.048 0.675
Ni: 0.174 0.174 0.990
Ni: 0.292 0.292 0.358
Ni: 0.708 0.708 0.642
Ni: 0.826 0.826 0.010
Ni: 0.952 0.952 0.325
N: 0.382 0.382 0.179
N: 0.618 0.618 0.821

Total DFT energy (no corrections) = -5.2363 eV per atom

=====

Record 21
A plane-wave DFT calculation with PBE was carried out for a relaxed ZnNi3N crystal.

Cell: 2.605 6.849 6.849 Å, 41.27 90.00 90.00°
Atoms (fractional coordinates):
Zn: 0.000 0.000 0.000
Ni: 0.000 0.416 0.931
Ni: 0.000 0.931 0.416
Ni: 0.500 0.838 0.838
N: 0.500 0.700 0.700

Total DFT energy (no corrections) = -5.0296 eV per atom

=====

Record 22
A plane-wave DFT calculation with PBE was carried out for a relaxed ZnNiN3 crystal.

Cell: 3.712 3.712 3.712 Å, 90.00 90.00 90.00°
Atoms (fractional coordinates):
Zn: 0.000 0.000 0.000
Ni: 0.500 0.500 0.500
N: 0.000 0.500 0.500
N: 0.500 0.000 0.500
N: 0.500 0.500 0.000

Total DFT energy (no corrections) = -4.7548 eV per atom